First-principles (GGA-PBE) data for a geometry-optimized RbZr2MnNb structure, as listed in Alexandria.

Calculated values
- ΔE_f: 0.887 eV/atom

a = 5.1366 Å, b = 5.1366 Å, c = 4.7089 Å
α = 90.00°, β = 90.00°, γ = 90.00°
Closest atoms and distances in Å follow each position.
Atoms (fractional coordinates):
Rb1 0.0000 0.0000 0.0000  8 Zr 3.48, 4 Nb 3.63
Zr1 0.0000 0.5000 0.5000  2 Mn 2.57
Zr2 0.5000 0.0000 0.5000  2 Mn 2.57
Mn1 0.5000 0.5000 0.5000  2 Nb 2.35, 4 Zr 2.57
Nb1 0.5000 0.5000 0.0000  2 Mn 2.35


First-principles (GGA-PBE) data for a geometry-optimized Mn3NbRe structure, as listed in Alexandria.

Calculated values
- ΔE_f: 1.340 eV/atom
- Excess energy over the best structure of this formula in the dataset: 0 meV/atom

a = 4.5345 Å, b = 4.5345 Å, c = 4.5345 Å
α = 90.00°, β = 90.00°, γ = 90.00°
Closest atoms and distances in Å follow each position.
Atoms (fractional coordinates):
Mn1 0.0000 0.0000 0.5000  2 Re 2.27
Mn2 0.0000 0.5000 0.0000  2 Re 2.27
Mn3 0.5000 0.0000 0.0000  2 Re 2.27
Nb1 0.5000 0.5000 0.5000  12 Mn 3.21
Re1 0.0000 0.0000 0.0000  6 Mn 2.27


First-principles (GGA-PBE) data for a geometry-optimized MnNbRe3 structure, as listed in Alexandria.

Calculated values
- ΔE_f: 1.203 eV/atom
- Excess energy over the best structure of this formula in the dataset: 0 meV/atom

a = 4.4117 Å, b = 4.4117 Å, c = 4.4117 Å
α = 90.00°, β = 90.00°, γ = 90.00°
Closest atoms and distances in Å follow each position.
Atoms (fractional coordinates):
Mn1 0.0000 0.0000 0.0000  6 Re 2.21
Nb1 0.5000 0.5000 0.5000  12 Re 3.12
Re1 0.0000 0.0000 0.5000  2 Mn 2.21
Re2 0.0000 0.5000 0.0000  2 Mn 2.21
Re3 0.5000 0.0000 0.0000  2 Mn 2.21


First-principles (GGA-PBE) data for a geometry-optimized Mn3NbRe structure, as listed in Alexandria.

Calculated values
- ΔE_f: 2.066 eV/atom
- Excess energy over the best structure of this formula in the dataset: 726 meV/atom

a = 4.3397 Å, b = 4.3397 Å, c = 4.3397 Å
α = 90.00°, β = 90.00°, γ = 90.00°
Closest atoms and distances in Å follow each position.
Atoms (fractional coordinates):
Mn1 0.0000 0.0000 0.5000  2 Nb 2.17
Mn2 0.0000 0.5000 0.0000  2 Nb 2.17
Mn3 0.5000 0.0000 0.0000  2 Nb 2.17
Nb1 0.0000 0.0000 0.0000  6 Mn 2.17
Re1 0.5000 0.5000 0.5000  12 Mn 3.07


First-principles (GGA-PBE) data for a geometry-optimized Mn2Nb2Re structure, as listed in Alexandria.

Calculated values
- ΔE_f: 0.100 eV/atom

a = 6.1183 Å, b = 6.1183 Å, c = 4.0616 Å
α = 90.00°, β = 90.00°, γ = 90.00°
Closest atoms and distances in Å follow each position.
Atoms (fractional coordinates):
Mn1 0.1228 0.3772 0.0000  1 Mn 2.12
Mn2 0.3772 0.8772 0.0000  1 Mn 2.12
Mn3 0.6228 0.1228 0.0000  1 Mn 2.12
Mn4 0.8772 0.6228 0.0000  1 Mn 2.12
Nb1 0.1829 0.6829 0.5000  6 Mn 2.64-2.79
Nb2 0.3171 0.1829 0.5000  6 Mn 2.64-2.79
Nb3 0.6829 0.8171 0.5000  6 Mn 2.64-2.79
Nb4 0.8171 0.3171 0.5000  6 Mn 2.64-2.79
Re1 0.0000 0.0000 0.0000  4 Mn 2.43
Re2 0.5000 0.5000 0.0000  4 Mn 2.43


First-principles (GGA-PBE) data for a geometry-optimized MnNb3Re2 structure, as listed in Alexandria.

Calculated values
- ΔE_f: -0.209 eV/atom

a = 7.0883 Å, b = 7.0883 Å, c = 6.3395 Å
α = 90.00°, β = 90.00°, γ = 143.11°
Closest atoms and distances in Å follow each position.
Atoms (fractional coordinates):
Mn1 0.1674 0.8326 0.0000  8 Nb 2.70-2.74
Mn2 0.8326 0.1674 0.0000  8 Nb 2.70-2.74
Nb1 0.0000 0.0000 0.2472  6 Re 2.74-2.76, 2 Mn 2.74
Nb2 0.0000 0.0000 0.7528  6 Re 2.74-2.76, 2 Mn 2.74
Nb3 0.3317 0.6683 0.2447  3 Mn 2.70-2.73, 5 Re 2.74-2.78
Nb4 0.3317 0.6683 0.7553  3 Mn 2.70-2.73, 5 Re 2.74-2.78
Nb5 0.6683 0.3317 0.2447  3 Mn 2.70-2.73, 5 Re 2.74-2.78
Nb6 0.6683 0.3317 0.7553  3 Mn 2.70-2.73, 5 Re 2.74-2.78
Re1 0.1666 0.8334 0.5000  8 Nb 2.75-2.77
Re2 0.5000 0.5000 0.0000  8 Nb 2.74
Re3 0.5000 0.5000 0.5000  8 Nb 2.76-2.78
Re4 0.8334 0.1666 0.5000  8 Nb 2.75-2.77


First-principles (GGA-PBE) data for a geometry-optimized MnNb2Re4 structure, as listed in Alexandria.

Calculated values
- ΔE_f: 1.242 eV/atom

a = 7.2058 Å, b = 7.2058 Å, c = 7.2058 Å
α = 144.31°, β = 144.31°, γ = 51.36°
Closest atoms and distances in Å follow each position.
Atoms (fractional coordinates):
Mn1 0.0000 0.0000 0.0000  6 Re 2.21-2.27
Nb1 0.3674 0.3674 0.0000  5 Re 2.51-2.80
Nb2 0.6326 0.6326 0.0000  5 Re 2.51-2.80
Re1 0.0000 0.5000 0.5000  2 Mn 2.21
Re2 0.1744 0.1744 0.0000  1 Mn 2.27, 1 Nb 2.51
Re3 0.5000 0.0000 0.5000  2 Mn 2.21
Re4 0.8256 0.8256 0.0000  1 Mn 2.27, 1 Nb 2.51


First-principles (GGA-PBE) data for a geometry-optimized Mn8Nb3Re structure, as listed in Alexandria.

Calculated values
- ΔE_f: -0.134 eV/atom

a = 4.7713 Å, b = 4.7713 Å, c = 7.8469 Å
α = 90.00°, β = 90.00°, γ = 120.00°
Closest atoms and distances in Å follow each position.
Atoms (fractional coordinates):
Mn1 0.0000 0.0000 0.0000  6 Mn 2.43-2.46
Mn2 0.0000 0.0000 0.4991  6 Mn 2.38-2.42
Mn3 0.1716 0.3432 0.7492  6 Mn 2.31-2.46
Mn4 0.1716 0.8284 0.7492  6 Mn 2.31-2.46
Mn5 0.3441 0.1720 0.2560  6 Mn 2.31-2.46
Mn6 0.6568 0.8284 0.7492  6 Mn 2.31-2.46
Mn7 0.8280 0.1720 0.2560  6 Mn 2.31-2.46
Mn8 0.8280 0.6559 0.2560  6 Mn 2.31-2.46
Nb1 0.3333 0.6667 0.0664  12 Mn 2.80-2.83, 4 Nb 2.93-2.97
Nb2 0.3333 0.6667 0.4445  12 Mn 2.74-2.81, 3 Re 2.93, 1 Nb 2.97
Nb3 0.6667 0.3333 0.9382  12 Mn 2.80-2.83, 1 Re 2.87, 3 Nb 2.93
Re1 0.6667 0.3333 0.5723  12 Mn 2.76-2.82, 4 Nb 2.87-2.93